1.
Density functional theory data (PBE) for a geometry-optimized CuRhS2 structure.

Summary:
D(E_F)	3.5	states/eV per cell
formation energy without anion corrections	-9.7	kJ per mole of atoms
V	149.88	Å³/cell

The structure in POSCAR format:
```
CuRhS2
1.0
2.4216 -5.7847 0.0000
2.4216 5.7847 0.0000
-0.2925 0.0000 5.3497
Cu Rh S
2 2 4
direct
0.2264 0.7736 0.7500
0.7736 0.2264 0.2500
0.4673 0.5327 0.2500
0.5327 0.4673 0.7500
0.1390 0.3873 0.5443
0.3873 0.1390 0.0443
0.6127 0.8610 0.9557
0.8610 0.6127 0.4557
```



2.
Density functional theory data (PBE) for a geometry-optimized BaHf3Bi structure.

Summary:
D(E_F)	8.2	states/eV per cell
E_form	1.8939	eV per atom
V	152.43	Å³/cell

The structure in POSCAR format:
```
BaHf3Bi
1.0
5.3419 0.0000 0.0000
0.0000 5.3419 0.0000
0.0000 0.0000 5.3419
Ba Hf Bi
1 3 1
direct
0.0000 0.0000 0.0000
0.0000 0.0000 0.5000
0.0000 0.5000 0.0000
0.5000 0.0000 0.0000
0.5000 0.5000 0.5000
```



3.
Density functional theory data (PBE) for a geometry-optimized NiW2Se structure.

Summary:
D(E_F)	2.4	states/eV per cell
formation energy without anion corrections	32.4	kJ per mole of atoms
V	58.78	Å³/cell

The structure in POSCAR format:
```
NiW2Se
1.0
4.5852 -1.4711 0.0000
4.5852 1.4711 0.0000
-1.3925 0.0000 4.3572
Ni W Se
1 2 1
direct
0.0000 0.0000 0.0000
0.5262 0.5262 0.5005
0.7373 0.7373 0.1359
0.2714 0.2714 0.6793
```



4.
Density functional theory data (PBE) for a geometry-optimized Rb2NaPrCl6 structure.

Summary:
D(E_F)	0.0	states/eV per cell
formation energy without anion corrections	-199.4	kJ per mole of atoms
V	333.86	Å³/cell

The structure in POSCAR format:
```
Rb2NaPrCl6
1.0
0.0000 5.5061 5.5061
5.5061 0.0000 5.5061
5.5061 5.5061 0.0000
Rb Na Pr Cl
2 1 1 6
direct
0.2500 0.2500 0.2500
0.7500 0.7500 0.7500
0.0000 0.0000 0.0000
0.5000 0.5000 0.5000
0.2506 0.2506 0.7494
0.2506 0.7494 0.2506
0.2506 0.7494 0.7494
0.7494 0.2506 0.2506
0.7494 0.2506 0.7494
0.7494 0.7494 0.2506
```



5.
Density functional theory data (PBE) for a geometry-optimized VGa2MoI structure.

Summary:
D(E_F)	4.9	states/eV per cell
formation energy without anion corrections	114.0	kJ per mole of atoms
V	122.18	Å³/cell

The structure in POSCAR format:
```
VGa2MoI
1.0
4.8977 0.0000 0.0000
0.0000 4.8977 0.0000
0.0000 0.0000 5.0936
V Ga Mo I
1 2 1 1
direct
0.0000 0.0000 0.0000
0.0000 0.5000 0.0000
0.5000 0.0000 0.0000
0.5000 0.5000 0.5000
0.0000 0.0000 0.5000
```



6.
Density functional theory data (PBE) for a geometry-optimized NaInTe2 structure.

Summary:
D(E_F)	0.0	states/eV per cell
formation energy without anion corrections	-55.7	kJ per mole of atoms
V	266.52	Å³/cell

The structure in POSCAR format:
```
NaInTe2
1.0
4.9912 -4.7339 0.0000
4.9912 4.7339 0.0000
-4.5836 0.0000 5.6399
Na In Te
2 2 4
direct
0.0653 0.9347 0.7500
0.9347 0.0653 0.2500
0.4890 0.5110 0.2500
0.5110 0.4890 0.7500
0.1344 0.4498 0.8076
0.4498 0.1344 0.3076
0.5502 0.8656 0.6924
0.8656 0.5502 0.1924
```